1.
Mn2CrMoN | PBE-GGA | optimized geometry

For the raw formation energy, the calculation gives -0.151 eV per atom. The calculation puts the total moment at 0.000 μB/atom. The space group is P4/mmm, No. 123.

abc: 3.774 3.774 3.845
angles: 90.00 90.00 90.00
Fractional positions:
Mn 0.000 0.500 0.000
Mn 0.500 0.000 0.000
Cr 0.000 0.000 0.500
Mo 0.500 0.500 0.500
N 0.000 0.000 0.000

2.
MnCr2MoN | PBE-GGA | optimized geometry

For the raw formation energy, the calculation gives -0.154 eV per atom. The calculation puts the total moment at 0.189 μB/atom. The space group is P4/mmm, No. 123.

abc: 3.850 3.850 3.780
angles: 90.00 90.00 90.00
Fractional positions:
Mn 0.000 0.000 0.000
Cr 0.000 0.500 0.500
Cr 0.500 0.000 0.500
Mo 0.500 0.500 0.000
N 0.000 0.000 0.500

3.
NaMn2CrMo | PBE-GGA | optimized geometry

For the formation energy, the calculation gives 1.706 eV per atom. The calculation puts the total moment at 0.304 μB/atom. The space group is P4/mmm, No. 123.

abc: 4.140 4.140 4.565
angles: 90.00 90.00 90.00
Fractional positions:
Na 0.000 0.000 0.000
Mn 0.000 0.500 0.500
Mn 0.500 0.000 0.500
Cr 0.000 0.000 0.500
Mo 0.500 0.500 0.000

4.
MnNbCrMo2 | PBE-GGA | optimized geometry

For the formation energy, the calculation gives 1.291 eV per atom. The calculation puts the total moment at 0.001 μB/atom. The space group is P4/mmm, No. 123.

abc: 4.406 4.406 4.533
angles: 90.00 90.00 90.00
Fractional positions:
Mn 0.000 0.000 0.000
Nb 0.000 0.000 0.500
Cr 0.500 0.500 0.500
Mo 0.000 0.500 0.000
Mo 0.500 0.000 0.000

5.
MnCrNiMo | PBE-GGA | optimized geometry

For the formation energy, the calculation gives 0.092 eV per atom. The calculation puts the total moment at 1.220 μB/atom. The space group is F-43m, No. 216.

abc: 4.193 4.193 4.193
angles: 60.00 60.00 60.00
Fractional positions:
Mn 0.000 0.000 0.000
Cr 0.500 0.500 0.500
Ni 0.750 0.750 0.750
Mo 0.250 0.250 0.250

| no. | electronic total energy (eV/cell) | N(E_F) (states/eV per atom) |
| --- | --- | --- |
| 1 | -47.9 | 0.802 |
| 2 | -48.3 | 1.133 |
| 3 | -31.6 | 1.528 |
| 4 | -44.1 | 1.463 |
| 5 | -35.0 | 0.536 |